## CrFeBi2O6 (PBE+U)

Data for a relaxed CrFeBi2O6 crystal.

Cell: 5.6114 5.6114 13.9607 Å, 90.00 90.00 120.00°
Space group R3 (No. 146, hexagonal axes)
Unique sites:
Cr: 0.0000 0.0000 0.0000 (multiplicity 3)
Fe: 0.0000 0.0000 0.4954 (multiplicity 3)
Bi: 0.0000 0.0000 0.2199 (multiplicity 3)
Bi: 0.0000 0.0000 0.7169 (multiplicity 3)
O: 0.0172 0.4340 0.2610 (multiplicity 9)
O: 0.0172 0.5803 0.7602 (multiplicity 9)

density: 8.14 g cm⁻³
spin magnetization: 0.800 μB/atom
final energy: -6.5328 eV per atom